1.
Tm8Rh3Pb2: relaxed, PBE.

Computed properties:
Volume = 26.8 Å³/atom
DFT total energy = -5.584 eV per atom
M_tot = 0.00 μB/cell
Energy of formation = -7.352 eV/f.u.

abc: 9.694 14.945 4.811
angles: 90.00 90.00 90.00
Space group Cmmm (No. 65)
Symmetry-distinct sites (fractional):
Tm1 0.000 0.108 0.000
Tm2 0.000 0.388 0.000
Tm3 0.246 0.390 0.500
Rh1 0.000 0.500 0.500
Rh2 0.248 0.500 0.000
Pb1 0.000 0.244 0.500

=====

2.
CaPrTl3: relaxed, PBE.

Computed properties:
Volume = 31.8 Å³/atom
DFT total energy = -2.915 eV per atom
M_tot = 0.00 μB/cell
Energy of formation = -0.693 eV/f.u.

abc: 7.3747 7.3747 6.7620
angles: 90.00 90.00 120.00
Space group P6_3/mmc (No. 194)
Symmetry-distinct sites (fractional):
Ca1 0.0000 0.0000 0.0000
Pr1 0.3333 0.6667 0.2500
Tl1 0.1985 0.3970 0.7500

=====

3.
Cs2ThI4Cl2: relaxed, PBE.

Computed properties:
Volume = 47.2 Å³/atom
DFT total energy = -3.784 eV per atom
M_tot = 0.00 μB/cell
Formation energy (no corrections) = -1.6702 eV/atom

abc: 14.071 8.700 7.016
angles: 90.00 98.63 90.00
Space group C2/m (No. 12)
Symmetry-distinct sites (fractional):
Cs1 0.163 0.000 0.294
Th1 0.000 0.500 0.000
I1 0.100 0.244 0.794
Cl1 0.148 0.500 0.283